Material: Pm3Sn7Pd2
Method: DFT, GGA-PBE
State: relaxed

Cell and atoms, written as CIF:
```
data_Pm3Sn7Pd2
_cell_length_a 15.109
_cell_length_b 15.109
_cell_length_c 4.419
_cell_angle_alpha 90.00
_cell_angle_beta 90.00
_cell_angle_gamma 162.40
_space_group_name_H-M_alt 'P 1'
_space_group_IT_number 1
loop_
_space_group_symop_operation_xyz
'x,y,z'
loop_
_atom_site_label
_atom_site_type_symbol
_atom_site_fract_x
_atom_site_fract_y
_atom_site_fract_z
Pm1 Pm 0.000 0.000 0.000
Pm2 Pm 0.180 0.820 0.000
Pm3 Pm 0.820 0.180 0.000
Sn1 Sn 0.087 0.913 0.500
Sn2 Sn 0.276 0.724 0.500
Sn3 Sn 0.415 0.585 0.000
Sn4 Sn 0.500 0.500 0.500
Sn5 Sn 0.585 0.415 0.000
Sn6 Sn 0.724 0.276 0.500
Sn7 Sn 0.913 0.087 0.500
Pd1 Pd 0.362 0.638 0.500
Pd2 Pd 0.638 0.362 0.500
```

Total energy (eV/cell): -59.96
Energy of formation from the pure elements (eV/atom): -0.609
M_tot (μB per formula unit): 0.00